A geometry-optimized ZrTlSe2 structure. Source: Alexandria, functional PBE.

Lattice parameters (Å, degrees): 3.657 6.085 10.326 90.00 90.00 90.00
Space group Immm (No. 71)
Asymmetric unit:
Zr  0.000  0.000  0.000
Tl  0.000  0.000  0.500
Se  0.000  0.500  0.317

## Properties
ΔE_f (raw) (eV per atom): -0.6305
Density of states at the Fermi level (states/eV/atom): 0.30

---

A geometry-optimized K2BaZr structure. Source: Alexandria, functional PBE.

Lattice parameters (Å, degrees): 9.184 9.184 9.184 90.00 90.00 90.00
Space group Fm-3m (No. 225)
Asymmetric unit:
K  0.250  0.250  0.250
Ba  0.000  0.000  0.000
Zr  0.000  0.000  0.500

## Properties
ΔE to the lowest computed polymorph (meV per atom): 348
DFT formation energy (eV per atom): 0.930
Density of states at the Fermi level (states/eV/atom): 2.27

---

A geometry-optimized Ca4Bi2O structure. Source: Alexandria, functional PBE.

Lattice parameters (Å, degrees): 4.771 4.771 16.638 90.00 90.00 90.00
Space group I4/mmm (No. 139)
Asymmetric unit:
Ca  0.000  0.000  0.163
Ca  0.000  0.500  0.000
Bi  0.000  0.000  0.359
O  0.000  0.000  0.000

## Properties
ΔE_f (raw) (eV per atom): -1.5076
ΔE to the lowest computed polymorph (meV per atom): 0

---

A geometry-optimized Tb3Nd3Th structure. Source: Alexandria, functional PBE.

Lattice parameters (Å, degrees): 8.7690 8.7690 21.9377 90.00 90.00 120.00
Space group R-3 (No. 148, hexagonal axes)
Asymmetric unit:
Tb  0.0033  0.7673  0.0577
Nd  0.0454  0.6001  0.8835
Th  0.0000  0.0000  0.3452

## Properties
DFT formation energy (eV per atom): 0.236
Density of states at the Fermi level (states/eV/atom): 1.61

---

A geometry-optimized NdZnPb2 structure. Source: Alexandria, functional PBE.

Lattice parameters (Å, degrees): 4.804 4.804 4.606 90.00 90.00 90.00
Space group P4/mmm (No. 123)
Asymmetric unit:
Nd  0.000  0.000  0.000
Zn  0.500  0.500  0.000
Pb  0.000  0.500  0.500

## Properties
ΔE to the lowest computed polymorph (meV per atom): 0
DFT formation energy (eV per atom): -0.318
Density of states at the Fermi level (states/eV/atom): 0.53

---

A geometry-optimized KCuPb2 structure. Source: Alexandria, functional PBE.

Lattice parameters (Å, degrees): 6.667 10.430 3.259 90.00 90.00 90.00
Space group Cmmm (No. 65)
Asymmetric unit:
K  0.000  0.000  0.000
Cu  0.000  0.500  0.000
Pb  0.250  0.250  0.500

## Properties
DFT formation energy (eV per atom): 0.321
Density of states at the Fermi level (states/eV/atom): 0.39

---

A geometry-optimized SmYB structure. Source: Alexandria, functional PBE.

Lattice parameters (Å, degrees): 3.569 23.814 3.257 90.00 90.00 90.00
Space group Cmcm (No. 63)
Asymmetric unit:
Sm  0.000  0.194  0.250
Y  0.000  0.432  0.250
B  0.000  0.012  0.250

## Properties
DFT formation energy (eV per atom): -0.215
Density of states at the Fermi level (states/eV/atom): 0.91

---

A geometry-optimized Ho4TmAg2 structure. Source: Alexandria, functional PBE.

Lattice parameters (Å, degrees): 5.3899 5.3899 24.6769 90.00 90.00 120.00
Space group R-3m (No. 166, hexagonal axes)
Asymmetric unit:
Ho  0.0000  0.0000  0.1262
Ho  0.0000  0.0000  0.2690
Tm  0.0000  0.0000  0.5000
Ag  0.0000  0.0000  0.3865

## Properties
DFT formation energy (eV per atom): 0.115
Density of states at the Fermi level (states/eV/atom): 1.27